1.
Tb2HoGa3CuGe2 | PBE | relaxed

Total energy, Ha/atom: -0.171
Space-group type: Amm2, No. 38

```
Tb2HoGa3CuGe2
1.0
4.161 0.000 0.000
0.000 6.089 3.521
0.000 -6.089 3.521
Tb Ho Ga Cu Ge
2 1 3 1 2
direct
0.000 0.201 0.799 Tb
0.000 0.799 0.201 Tb
0.000 0.603 0.603 Ho
0.500 0.202 0.435 Ga
0.500 0.435 0.202 Ga
0.500 0.967 0.967 Ga
0.000 0.202 0.202 Cu
0.500 0.535 0.867 Ge
0.500 0.867 0.535 Ge
```

***

2.
Y2HoGa3CuGe2 | PBE | relaxed

Total energy, Ha/atom: -0.186
Space-group type: Amm2, No. 38

```
Y2HoGa3CuGe2
1.0
4.148 0.000 0.000
0.000 6.085 3.516
0.000 -6.085 3.516
Y Ho Ga Cu Ge
2 1 3 1 2
direct
0.000 0.201 0.799 Y
0.000 0.799 0.201 Y
0.000 0.603 0.603 Ho
0.500 0.202 0.435 Ga
0.500 0.435 0.202 Ga
0.500 0.967 0.967 Ga
0.000 0.203 0.203 Cu
0.500 0.535 0.867 Ge
0.500 0.867 0.535 Ge
```

***

3.
YHo2Ga3CuGe2 | PBE | relaxed

Total energy, Ha/atom: -0.178
Space-group type: Amm2, No. 38

```
YHo2Ga3CuGe2
1.0
4.144 0.000 0.000
0.000 6.091 3.512
0.000 -6.091 3.512
Y Ho Ga Cu Ge
1 2 3 1 2
direct
0.000 0.000 0.000 Y
0.000 0.199 0.600 Ho
0.000 0.600 0.199 Ho
0.500 0.365 0.365 Ga
0.500 0.599 0.834 Ga
0.500 0.834 0.599 Ga
0.000 0.597 0.597 Cu
0.500 0.267 0.932 Ge
0.500 0.932 0.267 Ge
```

***

4.
LaGaCu2Ge | PBE | relaxed

Relative energy among the computed polymorphs, eV/atom: 0.0000
Total energy, Ha/atom: -0.167
Space-group type: P4/nmm, No. 129

```
LaGaCu2Ge
1.0
4.249 0.000 0.000
0.000 4.249 0.000
0.000 0.000 10.211
La Ga Cu Ge
2 2 4 2
direct
0.250 0.250 0.243 La
0.750 0.750 0.757 La
0.250 0.750 0.500 Ga
0.750 0.250 0.500 Ga
0.250 0.250 0.631 Cu
0.250 0.750 0.000 Cu
0.750 0.250 0.000 Cu
0.750 0.750 0.369 Cu
0.250 0.250 0.869 Ge
0.750 0.750 0.131 Ge
```

***

5.
LaGaCu2Ge | PBE | relaxed

Relative energy among the computed polymorphs, eV/atom: 0.0148
Total energy, Ha/atom: -0.166
Space-group type: I4mm, No. 107

```
LaGaCu2Ge
1.0
-2.143 2.143 5.042
2.143 -2.143 5.042
2.143 2.143 -5.042
La Ga Cu Ge
1 1 2 1
direct
0.000 0.000 0.000 La
0.628 0.628 0.000 Ga
0.252 0.752 0.500 Cu
0.752 0.252 0.500 Cu
0.375 0.375 0.000 Ge
```

***

6.
Li4GaCu2Ge | PBE | relaxed

Total energy, Ha/atom: -0.115
Space-group type: P-4m2, No. 115

```
Li4GaCu2Ge
1.0
4.217 0.000 0.000
0.000 4.217 0.000
0.000 0.000 5.958
Li Ga Cu Ge
4 1 2 1
direct
0.000 0.000 0.000 Li
0.000 0.500 0.249 Li
0.500 0.000 0.751 Li
0.500 0.500 0.500 Li
0.000 0.000 0.500 Ga
0.000 0.500 0.751 Cu
0.500 0.000 0.249 Cu
0.500 0.500 0.000 Ge
```

***

What is the total energy in the third record?
-0.178 Ha/atom